Record 1
BiOsSN2: optimized geometry, PBEsol.

```
5
Lattice="4.118 0.000 0.000 0.000 4.118 0.000 0.000 0.000 5.313" Properties=species:S:1:pos:R:3 pbc="T T T"
Bi 0.000 0.000 0.000
Os 2.059 2.059 2.656
S 0.000 0.000 2.656
N 0.000 2.059 0.000
N 2.059 0.000 0.000
```

For the total energy, the calculation gives -5.078 eV/atom. The calculation puts the magnetization at 0.973 μB per atom. Its uncorrected formation energy is 12.55 eV/f.u.

Record 2
LiIrRh2: optimized geometry, PBEsol.

```
8
Lattice="8.847 0.000 0.000 0.000 2.667 0.000 -0.714 0.000 4.495" Properties=species:S:1:pos:R:3 pbc="T T T"
Li 0.000 0.000 0.000
Li 4.423 1.333 0.000
Ir 2.095 1.333 1.268
Ir 6.518 0.000 1.268
Rh -0.333 1.333 2.229
Rh 1.593 0.000 3.510
Rh 4.090 0.000 2.229
Rh 6.017 1.333 3.510
```

For the total energy, the calculation gives -7.088 eV/atom. The calculation puts the energy above the lowest structure with this stoichiometry at 0.0119 eV per atom. The energy relative to the elements comes out at -0.071 eV per atom. The calculation puts the magnetization at 0.000 μB per atom.

- Among the records above, which one has the highest magnetization?
  BiOsSN2